Here is a geometry-optimized TiVPb2O6 structure from Alexandria via LeMat-Bulk. Energies are from PBE+U.

## Properties
total moment	1.000	μB/f.u.
calculated volume	14.25	A^3/atom
total DFT energy (no corrections)	-7.25	eV per atom

Unit cell a=5.431 b=5.431 c=9.664 alpha=90.00 beta=90.00 gamma=90.00
Space group I4mm (No. 107)
One atom of each set of equivalent atoms:
Ti1 0.000 0.000 0.000 (multiplicity 2)
V1 0.000 0.000 0.501 (multiplicity 2)
Pb1 0.000 0.500 0.284 (multiplicity 4)
O1 0.000 0.000 0.180 (multiplicity 2)
O2 0.000 0.000 0.677 (multiplicity 2)
O3 0.249 0.249 0.442 (multiplicity 8)